An optimized crystal structure of Nd3Ho12In. Source: Alexandria via LeMat-Bulk, functional PBE-GGA.

Cell lengths 4.9690, 4.9690, 20.1318 Å; angles 90.00, 90.00, 90.00 degrees
With the nearest neighbours (Å) after each atom.
Sites, in units of the cell vectors:
Nd (0.0000, 0.0000, 0.7520)  12 Ho 3.52-3.59
In (0.0000, 0.0000, 0.0000)  12 Ho 3.46-3.51
Ho (0.5000, 0.5000, 0.0000)  8 Ho 3.46, 4 In 3.51
Ho (0.5000, 0.0000, 0.8806)  8 Ho 3.46-3.52, 2 In 3.46, 2 Nd 3.59
Ho (0.5000, 0.0000, 0.3731)  8 Ho 3.51-3.61, 4 Nd 3.54-3.56
Ho (0.5000, 0.0000, 0.6269)  8 Ho 3.51-3.61, 4 Nd 3.54-3.56
Ho (0.0000, 0.5000, 0.8806)  8 Ho 3.46-3.52, 2 In 3.46, 2 Nd 3.59
Ho (0.5000, 0.5000, 0.2430)  4 Nd 3.52, 8 Ho 3.52-3.61
Ho (0.5000, 0.0000, 0.1194)  8 Ho 3.46-3.52, 2 In 3.46, 2 Nd 3.59
Nd (0.0000, 0.0000, 0.5000)  12 Ho 3.51-3.56
Ho (0.0000, 0.5000, 0.1194)  8 Ho 3.46-3.52, 2 In 3.46, 2 Nd 3.59
Ho (0.5000, 0.5000, 0.7570)  4 Nd 3.52, 8 Ho 3.52-3.61
Ho (0.0000, 0.5000, 0.3731)  8 Ho 3.51-3.61, 4 Nd 3.54-3.56
Ho (0.5000, 0.5000, 0.5000)  4 Nd 3.51, 8 Ho 3.56
Nd (0.0000, 0.0000, 0.2480)  12 Ho 3.52-3.59
Ho (0.0000, 0.5000, 0.6269)  8 Ho 3.51-3.61, 4 Nd 3.54-3.56

## Properties
VASP energy ... -4.538 eV per atom
Volume ... 497 Å³/f.u.
N(E_F) ... 20.161 states/eV/f.u.
M_tot ... 0.001 μB per atom
Formation energy ... -0.039 eV/atom